Below is a relaxed Nb2Ni3Ru crystal, with properties calculated at the PBE level.

Unit cell a=6.122 b=6.122 c=8.509 alpha=116.03 beta=116.03 gamma=36.08
Sites, in units of the cell vectors:
Nb: 0.020 0.020 0.341
Nb: 0.290 0.290 0.653
Nb: 0.710 0.710 0.347
Nb: 0.980 0.980 0.659
Ni: 0.120 0.120 0.111
Ni: 0.216 0.216 0.898
Ni: 0.457 0.457 0.111
Ni: 0.543 0.543 0.889
Ni: 0.784 0.784 0.102
Ni: 0.880 0.880 0.889
Ru: 0.368 0.368 0.353
Ru: 0.632 0.632 0.647

Properties
Formation enthalpy at 0 K in eV/atom: -0.1399